VASP calculation (PBE-GGA) on crystalline U3As2S at its relaxed geometry.

Computed properties:
Spin magnetization   14.569 μB per cell
Polymorph energy (0 for the lowest one)   0.003 eV/atom
Uncorrected formation energy   -0.925 eV per atom

a = 4.067 Å, b = 5.695 Å, c = 11.876 Å
α = 90.00°, β = 90.00°, γ = 90.00°
Space group Immm (No. 71)
Symmetry-distinct sites (fractional):
U (0.000, 0.000, 0.000) (multiplicity 2)
U (0.000, 0.000, 0.343) (multiplicity 4)
As (0.000, 0.500, 0.329) (multiplicity 4)
S (0.000, 0.500, 0.000) (multiplicity 2)